Record 1
Zr2Sc2Zn | PBE | relaxed

Fermi-level density of states	1.42	states/eV per atom
size of the total moment	0.00	Bohr magnetons per cell
total energy	-5.781	eV/atom
formation energy from the elements	0.426	eV/atom
energy relative to the lowest polymorph listed for this composition	570.8	meV/atom

Lattice parameters (Å, degrees): 8.563 8.563 8.563 153.72 153.72 37.51
Element x y z (fractional)
Zr  0.250  0.750  0.500
Zr  0.750  0.250  0.500
Sc  0.592  0.592  0.000
Sc  0.408  0.408  0.000
Zn  0.000  0.000  0.000

***

Record 2
TiTl3Pb2Se6 | PBE | relaxed

Fermi-level density of states	0.39	states/eV per atom
size of the total moment	0.00	Bohr magnetons per cell
total energy	-4.214	eV/atom
ΔE_f (raw)	-0.604	eV per atom

Lattice parameters (Å, degrees): 7.371 7.371 7.670 99.52 99.52 119.84
Element x y z (fractional)
Ti  0.000  0.000  0.000
Tl  0.173  0.827  0.500
Tl  0.827  0.173  0.500
Tl  0.500  0.500  0.500
Pb  0.336  0.664  0.000
Pb  0.664  0.336  0.000
Se  0.930  0.641  0.794
Se  0.784  0.784  0.216
Se  0.070  0.359  0.206
Se  0.641  0.930  0.794
Se  0.216  0.216  0.784
Se  0.359  0.070  0.206